# 1
Below is crystalline TcPtPb2 at its relaxed geometry, with properties calculated at the GGA-PBE level.

abc: 3.077 5.015 11.181
angles: 90.00 90.00 90.00
Space group Imm2 (No. 44)
One atom of each set of equivalent atoms:
Tc  0.000  0.000  0.000 x2
Pt  0.000  0.500  0.304 x2
Pb  0.000  0.000  0.546 x2
Pb  0.000  0.500  0.748 x2

Output
The formation energy is 0.4195 eV per atom. The value obtained for the relative energy among the computed polymorphs is 191 meV/atom. For the total moment, the calculation gives 1.5 μB per formula unit.

=====

# 2
Below is crystalline TcPt2Pb at its relaxed geometry, with properties calculated at the GGA-PBE level.

abc: 2.9484 2.9484 28.6927
angles: 90.00 90.00 120.00
Space group R-3m (No. 166, hexagonal axes)
One atom of each set of equivalent atoms:
Tc  0.0000  0.0000  0.0000 x3
Pt  0.0000  0.0000  0.2591 x6
Pb  0.0000  0.0000  0.5000 x3

Output
The formation energy is 0.2597 eV per atom. The value obtained for the relative energy among the computed polymorphs is 153 meV/atom. For the total moment, the calculation gives 0.0 μB per formula unit.

=====

no.,VASP energy (eV per atom)
1,-5.536
2,-6.279